Density functional theory data (PBE) for InRh5S8 after structural relaxation.

Results
As for the space-group type: F-43m (216). The uncorrected formation energy is -427 meV/atom.

a = 7.137 Å, b = 7.137 Å, c = 7.137 Å
α = 60.00°, β = 60.00°, γ = 60.00°
Fractional coordinates of all 14 atoms:
1 In 0.000 0.000 0.000
2 Rh 0.133 0.622 0.622
3 Rh 0.250 0.250 0.250
4 Rh 0.622 0.133 0.622
5 Rh 0.622 0.622 0.133
6 Rh 0.622 0.622 0.622
7 S 0.385 0.385 0.385
8 S 0.385 0.385 0.844
9 S 0.385 0.844 0.385
10 S 0.426 0.858 0.858
11 S 0.844 0.385 0.385
12 S 0.858 0.426 0.858
13 S 0.858 0.858 0.426
14 S 0.858 0.858 0.858

=====

Density functional theory data (PBE) for La4BiPb2 after structural relaxation.

Results
The calculation puts the formation energy at -0.199 eV/atom. The energy above the most stable polymorph in this dataset is 0.532 eV per atom. As for the space-group type: I4/mmm (139).

a = 9.507 Å, b = 9.507 Å, c = 9.507 Å
α = 143.62°, β = 143.62°, γ = 52.39°
Fractional coordinates of all 7 atoms:
1 La 0.000 0.500 0.500
2 La 0.187 0.187 0.000
3 La 0.500 0.000 0.500
4 La 0.813 0.813 0.000
5 Bi 0.000 0.000 0.000
6 Pb 0.376 0.376 0.000
7 Pb 0.624 0.624 0.000

=====

Density functional theory data (PBE) for PbW3 after structural relaxation.

Results
The calculation puts the formation energy at 0.793 eV/atom. The energy above the most stable polymorph in this dataset is 0.104 eV per atom. As for the space-group type: Pmmn (59).

a = 4.756 Å, b = 5.728 Å, c = 5.304 Å
α = 90.00°, β = 90.00°, γ = 90.00°
Fractional coordinates of all 8 atoms:
1 Pb 0.250 0.250 0.132
2 Pb 0.750 0.750 0.868
3 W 0.250 0.512 0.655
4 W 0.250 0.750 0.219
5 W 0.250 0.988 0.655
6 W 0.750 0.012 0.345
7 W 0.750 0.250 0.781
8 W 0.750 0.488 0.345

=====

Density functional theory data (PBE) for ZnIn2Se after structural relaxation.

Results
The energy above the most stable polymorph in this dataset is 0.107 eV per atom. As for the space-group type: I-42d (122). The uncorrected formation energy is -64 meV/atom.

a = 7.400 Å, b = 7.400 Å, c = 7.400 Å
α = 126.53°, β = 126.53°, γ = 79.02°
Fractional coordinates of all 8 atoms:
1 Zn 0.000 0.000 0.000
2 Zn 0.750 0.250 0.500
3 In 0.113 0.625 0.988
4 In 0.375 0.363 0.488
5 In 0.637 0.125 0.012
6 In 0.875 0.887 0.512
7 Se 0.250 0.750 0.500
8 Se 0.500 0.500 0.000

=====

Density functional theory data (PBE) for ScVCd after structural relaxation.

Results
The calculation puts the formation energy at 0.626 eV/atom. As for the space-group type: R-3m (166).

a = 7.846 Å, b = 7.846 Å, c = 7.846 Å
α = 33.39°, β = 33.39°, γ = 33.39°
Fractional coordinates of all 6 atoms:
1 Sc 0.076 0.076 0.076
2 Sc 0.924 0.924 0.924
3 V 0.191 0.191 0.191
4 V 0.809 0.809 0.809
5 Cd 0.350 0.350 0.350
6 Cd 0.650 0.650 0.650

=====

Density functional theory data (PBE) for SiMoPb2 after structural relaxation.

Results
As for the space-group type: F-43m (216). The uncorrected formation energy is 905 meV/atom.

a = 5.036 Å, b = 5.036 Å, c = 5.036 Å
α = 60.00°, β = 60.00°, γ = 60.00°
Fractional coordinates of all 4 atoms:
1 Si 0.000 0.000 0.000
2 Mo 0.750 0.750 0.750
3 Pb 0.250 0.250 0.250
4 Pb 0.500 0.500 0.500

=====

Density functional theory data (PBE) for ThPa2CrN4 after structural relaxation.

Results
As for the space-group type: Cmcm (63). The uncorrected formation energy is -1334 meV/atom.

a = 6.134 Å, b = 6.134 Å, c = 11.611 Å
α = 90.00°, β = 90.00°, γ = 148.32°
Fractional coordinates of all 16 atoms:
1 Th 0.104 0.896 0.750
2 Th 0.896 0.104 0.250
3 Pa 0.366 0.634 0.556
4 Pa 0.366 0.634 0.944
5 Pa 0.634 0.366 0.056
6 Pa 0.634 0.366 0.444
7 Cr 0.158 0.842 0.250
8 Cr 0.842 0.158 0.750
9 N 0.000 0.000 0.000
10 N 0.000 0.000 0.500
11 N 0.275 0.725 0.125
12 N 0.275 0.725 0.375
13 N 0.449 0.551 0.750
14 N 0.551 0.449 0.250
15 N 0.725 0.275 0.625
16 N 0.725 0.275 0.875

=====

Density functional theory data (PBE) for CaYMgPt after structural relaxation.

Results
The calculation puts the formation energy at -0.528 eV/atom. As for the space-group type: F-43m (216).

a = 5.104 Å, b = 5.104 Å, c = 5.104 Å
α = 60.00°, β = 60.00°, γ = 60.00°
Fractional coordinates of all 4 atoms:
1 Ca 0.000 0.000 0.000
2 Y 0.500 0.500 0.500
3 Mg 0.250 0.250 0.250
4 Pt 0.750 0.750 0.750

=====

no.,uncorrected energy (eV per atom)
1,-5.6062
2,-4.6289
3,-9.8493
4,-2.6229
5,-4.8290
6,-5.0124
7,-10.0011
8,-4.5533